Na3PdPb | PBE | relaxed

Properties
Excess energy over the best structure of this formula in the dataset ... 705 meV/atom
Total energy ... -2.00 eV/atom
ΔE_f ... 55.5 kJ/mol of atoms
D(E_F) ... 2.23 states/eV per cell

Geometry as POSCAR:
```
Na3PdPb
1.0
5.8112 0.0000 0.0000
0.0000 5.8112 0.0000
0.0000 0.0000 5.8112
Na Pd Pb
3 1 1
direct
0.0000 0.0000 0.5000
0.0000 0.5000 0.0000
0.5000 0.0000 0.0000
0.5000 0.5000 0.5000
0.0000 0.0000 0.0000
```

=====

TaAlIn2 | PBE | relaxed

Properties
Total energy ... -5.13 eV/atom
ΔE_f ... 13.7 kJ/mol of atoms
D(E_F) ... 1.18 states/eV per cell

Geometry as POSCAR:
```
TaAlIn2
1.0
-2.0412 2.0412 4.6468
2.0412 -2.0412 4.6468
2.0412 2.0412 -4.6468
Ta Al In
1 1 2
direct
0.0000 0.0000 0.0000
0.5000 0.5000 0.0000
0.2500 0.7500 0.5000
0.7500 0.2500 0.5000
```

=====

Be2AuF6 | PBE | relaxed

Properties
Total energy ... -4.84 eV/atom
Formation energy without anion corrections ... -21.61 eV per formula unit
D(E_F) ... 0.32 states/eV per cell

Geometry as POSCAR:
```
Be2AuF6
1.0
5.0520 -4.5411 0.0000
5.0520 4.5411 0.0000
-0.2604 0.0000 5.2489
Be Au F
4 2 12
direct
0.1263 0.2737 0.2350
0.2737 0.1263 0.7350
0.7263 0.8737 0.2650
0.8737 0.7263 0.7650
0.3895 0.6105 0.7500
0.6105 0.3895 0.2500
0.0787 0.5980 0.7560
0.1414 0.1521 0.9753
0.1521 0.1414 0.4753
0.2891 0.4241 0.2496
0.4020 0.9213 0.7440
0.4241 0.2891 0.7496
0.5759 0.7109 0.2504
0.5980 0.0787 0.2560
0.7109 0.5759 0.7504
0.8479 0.8586 0.5247
0.8586 0.8479 0.0247
0.9213 0.4020 0.2440
```

=====

Er7Tl2Hg2 | PBE | relaxed

Properties
Total energy ... -3.43 eV/atom
ΔE_f ... -3.8 kJ/mol of atoms
D(E_F) ... 10.88 states/eV per cell

Geometry as POSCAR:
```
Er7Tl2Hg2
1.0
3.9689 -5.5645 0.0000
3.9689 5.5645 0.0000
0.0000 0.0000 7.5933
Er Tl Hg
7 2 2
direct
0.0000 0.0000 0.0000
0.0000 0.5000 0.2798
0.0000 0.5000 0.7202
0.5000 0.0000 0.2798
0.5000 0.0000 0.7202
0.5000 0.5000 0.2515
0.5000 0.5000 0.7485
0.1851 0.1851 0.5000
0.8149 0.8149 0.5000
0.2879 0.7121 0.0000
0.7121 0.2879 0.0000
```

=====

La2TbPd | PBE | relaxed

Properties
Excess energy over the best structure of this formula in the dataset ... 0 meV/atom
Total energy ... -5.34 eV/atom
ΔE_f ... -40.3 kJ/mol of atoms
D(E_F) ... 19.19 states/eV per cell

Geometry as POSCAR:
```
La2TbPd
1.0
7.2620 0.0000 0.0000
0.0000 10.3311 0.0000
0.0000 0.0000 6.5858
La Tb Pd
8 4 4
direct
0.1798 0.0606 0.1687
0.1798 0.4394 0.1687
0.3202 0.5606 0.6687
0.3202 0.9394 0.6687
0.6798 0.0606 0.3313
0.6798 0.4394 0.3313
0.8202 0.5606 0.8313
0.8202 0.9394 0.8313
0.0294 0.2500 0.6546
0.4706 0.7500 0.1546
0.5294 0.2500 0.8454
0.9706 0.7500 0.3454
0.1208 0.7500 0.9341
0.3792 0.2500 0.4341
0.6208 0.7500 0.5659
0.8792 0.2500 0.0659
```

=====

ScHg2Te | PBE | relaxed

Properties
Total energy ... -2.67 eV/atom
Formation energy without anion corrections ... -0.59 eV per formula unit
D(E_F) ... 1.90 states/eV per cell

Geometry as POSCAR:
```
ScHg2Te
1.0
2.1759 1.2563 6.6243
-2.1759 1.2563 6.6243
0.0000 -2.5125 6.6243
Sc Hg Te
1 2 1
direct
0.0000 0.0000 0.0000
0.2572 0.2572 0.2572
0.7428 0.7428 0.7428
0.5000 0.5000 0.5000
```

=====

HfScMn2Sb | PBE | relaxed

Properties
Total energy ... -6.53 eV/atom
Formation energy without anion corrections ... 6.10 eV per formula unit
D(E_F) ... 11.15 states/eV per cell

Geometry as POSCAR:
```
HfScMn2Sb
1.0
4.6706 0.0000 0.0000
0.0000 4.6706 0.0000
0.0000 0.0000 5.1808
Hf Sc Mn Sb
1 1 2 1
direct
0.0000 0.0000 0.0000
0.5000 0.5000 0.0000
0.0000 0.5000 0.5000
0.5000 0.0000 0.5000
0.0000 0.0000 0.5000
```

=====

InAgPt | PBE | relaxed

Properties
Excess energy over the best structure of this formula in the dataset ... 11 meV/atom
Total energy ... -4.05 eV/atom
ΔE_f ... -17.2 kJ/mol of atoms
D(E_F) ... 0.98 states/eV per cell

Geometry as POSCAR:
```
InAgPt
1.0
-1.7390 1.7390 4.5158
1.7390 -1.7390 4.5158
1.7390 1.7390 -4.5158
In Ag Pt
1 1 1
direct
0.0000 0.0000 0.0000
0.3253 0.3253 0.0000
0.6539 0.6539 0.0000
```